Material: FeAg
Method: DFT, PBE
State: relaxed

* VASP energy: -5.37 eV/atom

Cell: 8.894 8.894 8.894 Å, 18.32 18.32 18.32°
Atoms (fractional coordinates):
Fe 0.134 0.134 0.134
Fe 0.866 0.866 0.866
Ag 0.381 0.381 0.381
Ag 0.619 0.619 0.619

Material: FeAg3
Method: DFT, PBE
State: relaxed

* VASP energy: -3.94 eV/atom

Cell: 4.825 9.443 5.850 Å, 90.00 90.00 90.00°
Atoms (fractional coordinates):
Fe 0.076 0.250 0.144
Fe 0.424 0.750 0.644
Fe 0.576 0.250 0.356
Fe 0.924 0.750 0.856
Ag 0.079 0.250 0.620
Ag 0.245 0.502 0.875
Ag 0.245 0.998 0.875
Ag 0.255 0.002 0.375
Ag 0.255 0.498 0.375
Ag 0.421 0.750 0.120
Ag 0.579 0.250 0.880
Ag 0.745 0.502 0.625
Ag 0.745 0.998 0.625
Ag 0.755 0.002 0.125
Ag 0.755 0.498 0.125
Ag 0.921 0.750 0.380

Material: FeAg
Method: DFT, PBE
State: relaxed

* VASP energy: -5.28 eV/atom

Cell: 5.406 5.406 4.223 Å, 90.00 90.00 150.84°
Atoms (fractional coordinates):
Fe 0.058 0.942 0.750
Fe 0.942 0.058 0.250
Ag 0.324 0.676 0.750
Ag 0.676 0.324 0.250

Material: Fe2Ag
Method: DFT, PBE
State: relaxed

* VASP energy: -6.21 eV/atom

Cell: 5.262 5.262 6.344 Å, 104.05 104.05 30.05°
Atoms (fractional coordinates):
Fe 0.000 0.000 0.000
Fe 0.062 0.062 0.639
Fe 0.379 0.379 0.236
Fe 0.712 0.712 0.939
Ag 0.338 0.338 0.670
Ag 0.659 0.659 0.334

Material: Ga3FeAg
Method: DFT, PBE
State: relaxed

* energy relative to the lowest polymorph listed for this composition: 0.000 eV/atom
* VASP energy: -3.94 eV/atom

Cell: 4.560 4.560 4.560 Å, 90.00 90.00 90.00°
Atoms (fractional coordinates):
Ga 0.000 0.000 0.500
Ga 0.000 0.500 0.000
Ga 0.500 0.000 0.000
Fe 0.000 0.000 0.000
Ag 0.500 0.500 0.500

Material: Ga2FeAg
Method: DFT, PBE
State: relaxed

* energy relative to the lowest polymorph listed for this composition: 0.017 eV/atom
* VASP energy: -4.33 eV/atom

Cell: 8.644 8.644 8.644 Å, 19.18 19.18 19.18°
Atoms (fractional coordinates):
Ga 0.000 0.000 0.000
Ga 0.182 0.182 0.182
Fe 0.591 0.591 0.591
Ag 0.425 0.425 0.425

Number 1: ΔE_f 0.29 eV per atom, density 8.955 g cm⁻³, calculated volume 15.179 Å³/atom. Number 2: ΔE_f 0.31 eV per atom, density 9.456 g cm⁻³, calculated volume 16.658 Å³/atom. Number 3: ΔE_f 0.38 eV per atom, density 9.042 g cm⁻³, calculated volume 15.032 Å³/atom. Number 4: ΔE_f 0.38 eV per atom, density 8.564 g cm⁻³, calculated volume 14.190 Å³/atom. Number 5: ΔE_f 0.14 eV per atom, density 6.531 g cm⁻³, calculated volume 18.962 Å³/atom. Number 6: ΔE_f 0.01 eV per atom, density 8.263 g cm⁻³, calculated volume 15.231 Å³/atom.